# K2MnH2OF5 (PBE+U, relaxed)
# total DFT energy (no corrections) = -0.18600 Ha/atom
data_K2MnH2OF5
_chemical_formula_sum 'K4 Mn2 H4 O2 F10'
_symmetry_space_group_name_H-M 'P 1'
_symmetry_Int_Tables_number 1
_cell_length_a 6.089
_cell_length_b 8.287
_cell_length_c 6.393
_cell_angle_alpha 90.00
_cell_angle_beta 98.34
_cell_angle_gamma 90.00
loop_
_symmetry_equiv_pos_as_xyz
'x,y,z'
loop_
_atom_site_label
_atom_site_fract_x
_atom_site_fract_y
_atom_site_fract_z
K1 0.011 0.000 0.115
K2 0.383 0.500 0.471
K3 0.617 0.000 0.529
K4 0.989 0.500 0.885
Mn1 0.500 0.249 0.000
Mn2 0.500 0.749 0.000
H1 0.155 0.096 0.626
H2 0.155 0.905 0.627
H3 0.845 0.405 0.373
H4 0.845 0.596 0.374
O1 0.086 0.000 0.550
O2 0.914 0.500 0.450
F1 0.258 0.704 0.144
F2 0.259 0.293 0.145
F3 0.304 0.741 0.735
F4 0.305 0.257 0.735
F5 0.436 0.999 0.034
F6 0.564 0.499 0.966
F7 0.695 0.757 0.265
F8 0.696 0.241 0.265
F9 0.741 0.793 0.855
F10 0.742 0.204 0.856